(1)
## AgAu2I2 (meta-GGA SCAN)

Data for AgAu2I2 at its PBEsol-relaxed geometry.

Structure (POSCAR):
```
AgAu2I2
1.0
-2.342 2.342 6.195
2.342 -2.342 6.195
2.342 2.342 -6.195
Ag Au I
1 2 2
direct
0.000 0.000 0.000
0.397 0.397 0.000
0.603 0.603 0.000
0.250 0.750 0.500
0.750 0.250 0.500
```

Its space group is I4/mmm. As for the uncorrected formation energy: 0.6820 eV/atom.

***

(2)
## AgAuI4O12 (meta-GGA SCAN)

Data for AgAuI4O12 at its PBEsol-relaxed geometry.

Structure (POSCAR):
```
AgAuI4O12
1.0
7.841 0.000 0.000
0.000 5.645 0.000
-3.715 0.000 12.007
Ag Au I O
2 2 8 24
direct
0.000 0.137 0.000
0.000 0.863 0.500
0.535 0.250 0.031
0.535 0.750 0.531
0.224 0.387 0.359
0.224 0.613 0.859
0.350 0.075 0.694
0.350 0.925 0.194
0.715 0.421 0.365
0.715 0.579 0.865
0.846 0.129 0.701
0.846 0.871 0.201
0.150 0.089 0.209
0.150 0.911 0.709
0.202 0.422 0.738
0.202 0.578 0.238
0.243 0.139 0.549
0.243 0.861 0.049
0.287 0.364 0.966
0.287 0.636 0.466
0.448 0.252 0.384
0.448 0.748 0.884
0.472 0.209 0.171
0.472 0.791 0.671
0.606 0.289 0.893
0.606 0.711 0.393
0.623 0.259 0.675
0.623 0.741 0.175
0.783 0.133 0.098
0.783 0.867 0.598
0.825 0.337 0.506
0.825 0.663 0.006
0.869 0.063 0.324
0.869 0.937 0.824
0.918 0.413 0.847
0.918 0.587 0.347
```

Its space group is Pc. As for the uncorrected formation energy: -0.3089 eV/atom.

***

(3)
## AgSbAuI2 (meta-GGA SCAN)

Data for AgSbAuI2 at its PBEsol-relaxed geometry.

Structure (POSCAR):
```
AgSbAuI2
1.0
5.409 0.000 0.000
0.000 5.409 0.000
0.000 0.000 5.387
Ag Sb Au I
1 1 1 2
direct
0.000 0.000 0.000
0.000 0.000 0.500
0.500 0.500 0.500
0.000 0.500 0.000
0.500 0.000 0.000
```

Its space group is P4/mmm. As for the uncorrected formation energy: 0.7707 eV/atom.

***

(4)
## SiAgAu2I (meta-GGA SCAN)

Data for SiAgAu2I at its PBEsol-relaxed geometry.

Structure (POSCAR):
```
SiAgAu2I
1.0
5.028 0.000 0.000
0.000 5.028 0.000
0.000 0.000 5.309
Si Ag Au I
1 1 2 1
direct
0.000 0.000 0.000
0.500 0.500 0.500
0.000 0.500 0.500
0.500 0.000 0.500
0.500 0.500 0.000
```

Its space group is P4/mmm. As for the uncorrected formation energy: 1.1031 eV/atom.

***

(5)
## InAg2Au (meta-GGA SCAN)

Data for InAg2Au at its PBEsol-relaxed geometry.

Structure (POSCAR):
```
InAg2Au
1.0
3.448 0.000 0.000
0.000 3.448 0.000
0.000 0.000 6.033
In Ag Au
1 2 1
direct
0.000 0.000 0.000
0.000 0.000 0.499
0.500 0.500 0.263
0.500 0.500 0.748
```

Its space group is P4mm. As for the formation enthalpy at 0 K: -0.0704 eV per atom.

***

(6)
## InAg2Au (meta-GGA SCAN)

Data for InAg2Au at its PBEsol-relaxed geometry.

Structure (POSCAR):
```
InAg2Au
1.0
4.821 -1.503 0.000
4.821 1.503 0.000
-0.986 0.000 4.902
In Ag Au
1 2 1
direct
0.000 0.000 0.000
0.502 0.502 0.500
0.752 0.752 0.268
0.251 0.251 0.760
```

Its space group is Cm. As for the formation enthalpy at 0 K: -0.0726 eV per atom.